[1]
Ba2AcPb PBE-GGA relaxed; polymorph energy (0 for the lowest one) = 0.182 eV/atom
1.0
6.3121 0.0000 0.0000
3.1561 5.4665 0.0000
3.1561 1.8222 5.1538
Ba Ac Pb
2 1 1
Direct
0.7500 0.7500 0.7500
0.2500 0.2500 0.2500
0.0000 0.0000 0.0000
0.5000 0.5000 0.5000



[2]
BaAcPb4 PBE-GGA relaxed; polymorph energy (0 for the lowest one) = 0.040 eV/atom
1.0
6.6865 0.0000 0.0000
3.3432 5.7906 0.0000
3.3432 1.9302 5.4595
Pb Ba Ac
4 1 1
Direct
0.6256 0.1232 0.6256
0.6256 0.6256 0.1232
0.1232 0.6256 0.6256
0.6256 0.6256 0.6256
0.2500 0.2500 0.2500
0.0000 0.0000 0.0000



[3]
BaAc2Pb2 PBE-GGA relaxed; polymorph energy (0 for the lowest one) = 0.000 eV/atom
1.0
4.9463 0.0000 0.0000
0.0000 9.0076 0.0000
0.0000 0.0000 9.0076
Ac Pb Ba
4 4 2
Direct
0.0000 0.6717 0.3283
0.0000 0.1717 0.1717
0.0000 0.8283 0.8283
0.0000 0.3283 0.6717
0.5000 0.3772 0.3772
0.5000 0.6228 0.6228
0.5000 0.8772 0.1228
0.5000 0.1228 0.8772
0.5000 0.5000 0.0000
0.5000 0.0000 0.5000



[4]
This record from the Alexandria database describes a relaxed BaAc6Pb4 crystal. The functional is PBE-GGA.

```
BaAc6Pb4
1.0
4.7119 0.0000 0.0000
0.0000 10.5915 0.0000
0.0000 -5.2957 9.1725
Ac Pb Ba
6 4 1
Direct
0.0000 0.5410 0.4590
0.0000 0.9179 0.4590
0.0000 0.5410 0.0821
0.5000 0.1964 0.3928
0.5000 0.1964 0.8036
0.5000 0.6072 0.8036
0.5000 0.8303 0.6606
0.0000 0.3333 0.6667
0.5000 0.3394 0.1697
0.5000 0.8303 0.1697
0.0000 0.0000 0.0000
```



[5]
This record from the Alexandria database describes a relaxed Ba3AcPb6 crystal. The functional is PBE-GGA.

```
Ba3AcPb6
1.0
-8.8271 2.9581 -0.8321
-0.9519 -4.8571 7.9286
3.6898 7.7840 3.6270
Ba Ac Pb
6 2 12
Direct
0.6843 0.8157 0.2500
0.7500 0.3157 0.1843
0.3157 0.1843 0.7500
0.2500 0.6843 0.8157
0.1843 0.7500 0.3157
0.8157 0.2500 0.6843
0.5000 0.5000 0.5000
0.0000 0.0000 0.0000
0.0883 0.3716 0.0084
0.6284 0.9916 0.9117
0.5084 0.8716 0.5883
0.0084 0.0883 0.3716
0.3716 0.0084 0.0883
0.4916 0.1284 0.4117
0.8716 0.5883 0.5084
0.5883 0.5084 0.8716
0.9916 0.9117 0.6284
0.9117 0.6284 0.9916
0.4117 0.4916 0.1284
0.1284 0.4117 0.4916
```



[6]
BaAc2Pb PBE-GGA relaxed; polymorph energy (0 for the lowest one) = 0.154 eV/atom
1.0
-3.1676 -1.2275 5.0895
-5.4786 -2.6987 -0.3821
-0.6936 -5.7914 1.8501
Ac Ba Pb
2 1 1
Direct
0.7500 0.7500 0.7500
0.2500 0.2500 0.2500
0.0000 0.0000 0.0000
0.5000 0.5000 0.5000



no.,formation energy from the elements (kJ/mol of atoms)
1,-4
2,-36
3,-44
4,-37
5,-40
6,-4